# GGA-PBE NdPuPd, relaxed
data_NdPuPd
_chemical_formula_sum 'Nd2 Pu2 Pd2'
_cell_length_a 6.120
_cell_length_b 3.485
_cell_length_c 6.633
_cell_angle_alpha 90.00
_cell_angle_beta 94.77
_cell_angle_gamma 90.00
_symmetry_space_group_name_H-M 'P 1 21/m 1'
_symmetry_Int_Tables_number 11
loop_
_symmetry_equiv_pos_as_xyz
'x,y,z'
'-x,-y,-z'
'-x,y+1/2,-z'
'x,-y+1/2,z'
loop_
_atom_site_label
_atom_site_fract_x
_atom_site_fract_y
_atom_site_fract_z
Nd1 0.066 0.250 0.250
Pu1 0.464 0.250 0.887
Pd1 0.332 0.750 0.528
# Total magnetic moment ... 0.000 μB/f.u.
# Raw total energy ... -8.2410 eV per atom
# DFT formation energy ... -0.43 eV per formula unit